Here is a relaxed structure of ZrGa2Pd9 from the Alexandria database. Energies are from PBE.

The structure in POSCAR format:
```
ZrGa2Pd9
1.0
-1.9413 -1.3002 -3.2325
-0.9408 -3.3674 1.9195
-9.8702 4.9920 3.9198
Pd Ga Zr
9 2 1
Direct
0.5000 0.5000 0.3356 Pd
0.5000 0.0000 0.8280 Pd
0.5000 0.5000 0.6644 Pd
0.0000 0.5000 0.5000 Pd
0.0000 0.5000 0.1720 Pd
0.5000 0.0000 0.1720 Pd
0.5000 0.5000 0.0000 Pd
0.5000 0.0000 0.5000 Pd
0.0000 0.5000 0.8280 Pd
0.0000 0.0000 0.3414 Ga
0.0000 0.0000 0.6586 Ga
0.0000 0.0000 0.0000 Zr
```

## Properties
ΔE_f, meV per atom: -592.7
Symmetry: P4/mmm (123)
D(E_F), states/eV/atom: 0.793
Mass density, g/cm3: 10.6